1.
Below is a relaxed structure of ErPaTc2, with properties calculated at the GGA-PBEsol level.

The structure in extended XYZ format:
```
4
Lattice="-1.530 4.501 0.127 -1.955 1.736 3.973 2.340 3.235 2.585" Properties=species:S:1:pos:R:3 pbc="T T T"
Tc -0.858 7.104 5.013
Tc -0.286 2.368 1.671
Er -0.572 4.736 3.342
Pa 0.000 0.000 0.000
```

Values from the calculation:
crystal system: cubic

=====

2.
Below is a relaxed structure of Er5Pb4, with properties calculated at the GGA-PBEsol level.

The structure in extended XYZ format:
```
36
Lattice="8.014 0.000 0.000 0.000 8.066 0.000 0.000 0.000 15.244" Properties=species:S:1:pos:R:3 pbc="T T T"
Pb 7.446 7.068 11.433
Pb 2.260 7.789 14.590
Pb 2.789 6.826 3.811
Pb 6.267 4.310 8.277
Pb 1.746 3.756 6.967
Pb 6.796 5.273 3.811
Pb 0.568 0.998 3.811
Pb 1.746 3.756 0.655
Pb 2.260 7.789 8.277
Pb 6.267 4.310 14.590
Pb 4.575 3.035 3.811
Pb 5.225 1.240 11.433
Pb 1.218 2.793 11.433
Pb 3.439 5.031 11.433
Pb 5.753 0.277 6.967
Pb 5.753 0.277 0.655
Er 1.673 3.998 3.811
Er 0.990 5.298 13.397
Er 4.297 5.453 6.113
Er 6.341 4.068 11.433
Er 0.290 6.645 6.113
Er 7.024 2.768 1.847
Er 4.996 6.801 13.397
Er 7.724 1.420 13.735
Er 0.990 5.298 9.469
Er 4.996 6.801 9.469
Er 7.724 1.420 9.131
Er 4.297 5.453 1.509
Er 3.717 2.612 13.735
Er 2.334 8.030 11.433
Er 5.680 0.035 3.811
Er 0.290 6.645 1.509
Er 3.017 1.265 5.775
Er 3.017 1.265 1.847
Er 3.717 2.612 9.131
Er 7.024 2.768 5.775
```

Values from the calculation:
crystal system: orthorhombic

=====

3.
Below is a relaxed structure of Er2Pd2Pb, with properties calculated at the GGA-PBEsol level.

The structure in extended XYZ format:
```
10
Lattice="-2.726 -1.048 1.924 -4.139 -1.118 -6.471 2.553 -7.321 -0.368" Properties=species:S:1:pos:R:3 pbc="T T T"
Pd -1.230 -1.337 -2.470
Pd -2.663 -3.720 -5.797
Pd -0.356 -7.102 -4.370
Pd 1.078 -4.720 -1.042
Er -3.087 -6.358 -4.655
Er -1.225 -3.129 -0.260
Er -0.609 -6.968 -1.478
Er -3.702 -2.518 -3.437
Pb -0.793 -4.220 -3.420
Pb 0.000 0.000 0.000
```

Values from the calculation:
crystal system: tetragonal

=====

4.
Below is a relaxed structure of ErPdPb, with properties calculated at the GGA-PBEsol level.

The structure in extended XYZ format:
```
9
Lattice="3.744 0.000 0.000 0.000 7.720 0.000 0.000 -3.860 6.685" Properties=species:S:1:pos:R:3 pbc="T T T"
Pb 0.000 2.080 0.000
Pb 0.000 2.820 4.884
Pb 0.000 -1.040 1.801
Er 1.872 4.644 0.000
Er 1.872 -2.322 4.022
Er 1.872 1.538 2.663
Pd 0.000 0.000 4.457
Pd 0.000 3.860 2.228
Pd 1.872 0.000 0.000
```

Values from the calculation:
crystal system: hexagonal

=====

5.
Below is a relaxed structure of ErPd3, with properties calculated at the GGA-PBEsol level.

The structure in extended XYZ format:
```
4
Lattice="4.025 0.000 0.000 0.000 4.025 0.000 0.000 0.000 4.025" Properties=species:S:1:pos:R:3 pbc="T T T"
Pd 2.013 0.000 2.013
Pd 2.013 2.013 0.000
Pd 0.000 2.013 2.013
Er 0.000 0.000 0.000
```

Values from the calculation:
crystal system: cubic

=====

6.
Below is a relaxed structure of ErPd, with properties calculated at the GGA-PBEsol level.

The structure in extended XYZ format:
```
2
Lattice="3.420 0.000 0.000 0.000 3.420 0.000 0.000 0.000 3.420" Properties=species:S:1:pos:R:3 pbc="T T T"
Er 0.000 0.000 0.000
Pd 1.710 1.710 1.710
```

Values from the calculation:
crystal system: cubic

=====

Summary of calculated formation energy in eV per atom
-0.1436 -0.5591 -0.8609 -0.7500 -0.9190 -0.9113
(order as listed above)